No. 1
## Tb2Nd12Y5 (PBE-GGA)

Data for a relaxed Tb2Nd12Y5 crystal.

## Properties
Its space group is No. 12. For the formation energy, the calculation gives 0.113 eV per atom. Its energy is -96.653 eV/f.u. Its energy above the lowest structure with this stoichiometry is 0.000 eV per atom.

a = 9.273 Å, b = 9.273 Å, c = 8.821 Å
α = 91.96°, β = 91.96°, γ = 60.22°
Element x y z (fractional)
Tb1 0.171 0.829 0.000
Tb2 0.829 0.171 0.000
Nd1 0.060 0.060 0.344
Nd2 0.068 0.674 0.320
Nd3 0.167 0.531 0.762
Nd4 0.326 0.932 0.680
Nd5 0.420 0.420 0.116
Nd6 0.469 0.833 0.238
Nd7 0.531 0.167 0.762
Nd8 0.580 0.580 0.884
Nd9 0.674 0.068 0.320
Nd10 0.833 0.469 0.238
Nd11 0.932 0.326 0.680
Nd12 0.940 0.940 0.656
Y1 0.204 0.204 0.029
Y2 0.268 0.268 0.434
Y3 0.500 0.500 0.500
Y4 0.732 0.732 0.566
Y5 0.796 0.796 0.971

No. 2
## TbNd2Y (PBE-GGA)

Data for a relaxed TbNd2Y crystal.

## Properties
Its space group is No. 166. For the formation energy, the calculation gives 0.181 eV per atom. Its energy is -19.905 eV/f.u. Its energy above the lowest structure with this stoichiometry is 0.168 eV per atom.

a = 12.734 Å, b = 12.734 Å, c = 12.734 Å
α = 15.99°, β = 15.99°, γ = 15.99°
Element x y z (fractional)
Tb1 0.000 0.000 0.000
Nd1 0.088 0.088 0.088
Nd2 0.912 0.912 0.912
Y1 0.500 0.500 0.500

No. 3
## Tb2NdY12 (PBE-GGA)

Data for a relaxed Tb2NdY12 crystal.

## Properties
Its space group is No. 67. For the formation energy, the calculation gives 0.174 eV per atom. Its energy is -88.992 eV/f.u.

a = 6.700 Å, b = 6.700 Å, c = 24.818 Å
α = 90.00°, β = 90.00°, γ = 116.14°
Element x y z (fractional)
Tb1 0.250 0.750 0.233
Tb2 0.250 0.750 0.770
Tb3 0.750 0.250 0.230
Tb4 0.750 0.250 0.767
Nd1 0.250 0.750 0.501
Nd2 0.750 0.250 0.499
Y1 0.001 0.501 0.630
Y2 0.001 0.999 0.421
Y3 0.010 0.510 0.086
Y4 0.013 0.987 0.939
Y5 0.250 0.250 0.173
Y6 0.250 0.250 0.300
Y7 0.250 0.250 0.700
Y8 0.250 0.250 0.827
Y9 0.487 0.513 0.939
Y10 0.490 0.990 0.086
Y11 0.499 0.501 0.421
Y12 0.499 0.999 0.630
Y13 0.501 0.001 0.370
Y14 0.501 0.499 0.579
Y15 0.510 0.010 0.914
Y16 0.513 0.487 0.061
Y17 0.750 0.750 0.173
Y18 0.750 0.750 0.300
Y19 0.750 0.750 0.700
Y20 0.750 0.750 0.827
Y21 0.987 0.013 0.061
Y22 0.990 0.490 0.914
Y23 0.999 0.001 0.579
Y24 0.999 0.499 0.370

No. 4
## Tb3Nd6Y2 (PBE-GGA)

Data for a relaxed Tb3Nd6Y2 crystal.

## Properties
Its space group is No. 166. For the formation energy, the calculation gives 0.011 eV per atom. Its energy is -55.305 eV/f.u. Its energy above the lowest structure with this stoichiometry is 0.000 eV per atom.

a = 32.518 Å, b = 32.518 Å, c = 32.518 Å
α = 6.40°, β = 6.40°, γ = 6.40°
Element x y z (fractional)
Tb1 0.000 0.000 0.000
Tb2 0.273 0.273 0.273
Tb3 0.727 0.727 0.727
Nd1 0.090 0.090 0.090
Nd2 0.182 0.182 0.182
Nd3 0.363 0.363 0.363
Nd4 0.637 0.637 0.637
Nd5 0.818 0.818 0.818
Nd6 0.910 0.910 0.910
Y1 0.454 0.454 0.454
Y2 0.546 0.546 0.546